(1)
Crystalline Tb2TmCd at its relaxed geometry. Source: Alexandria, functional PBE.

Computed properties:
Uncorrected energy: -14.040 eV per cell
ρ: 7.98 Mg/m³
Energy above the lowest structure with this stoichiometry: 291 meV per atom
DFT formation energy: 0.152 eV/atom

a = 3.454 Å, b = 3.454 Å, c = 12.237 Å
α = 81.89°, β = 81.89°, γ = 60.00°
Element x y z (fractional)
Tm (0.500, 0.500, 0.500)
Tb (0.089, 0.089, 0.732)
Tb (0.911, 0.911, 0.268)
Cd (0.000, 0.000, 0.000)



(2)
Crystalline Tb2TmCd2 at its relaxed geometry. Source: Alexandria, functional PBE.

Computed properties:
Uncorrected energy: -16.390 eV per cell
ρ: 8.46 Mg/m³
Energy above the lowest structure with this stoichiometry: 87 meV per atom
DFT formation energy: -0.166 eV/atom

a = 4.975 Å, b = 5.898 Å, c = 5.898 Å
α = 70.57°, β = 65.06°, γ = 65.06°
Element x y z (fractional)
Tb (0.198, 0.302, 0.302)
Tb (0.802, 0.698, 0.698)
Tm (0.000, 0.000, 0.000)
Cd (0.500, 0.289, 0.711)
Cd (0.500, 0.711, 0.289)



(3)
Crystalline Tb8TmCd2 at its relaxed geometry. Source: Alexandria, functional PBE.

Computed properties:
Uncorrected energy: -43.003 eV per cell
ρ: 8.10 Mg/m³
DFT formation energy: 0.031 eV/atom

a = 5.578 Å, b = 8.754 Å, c = 8.754 Å
α = 119.94°, β = 101.19°, γ = 101.19°
Element x y z (fractional)
Tb (0.887, 0.905, 0.681)
Tb (0.887, 0.681, 0.905)
Tb (0.298, 0.601, 0.601)
Tb (0.500, 0.781, 0.219)
Tb (0.500, 0.219, 0.781)
Tb (0.702, 0.399, 0.399)
Tb (0.113, 0.319, 0.095)
Tb (0.113, 0.095, 0.319)
Tm (0.500, 0.000, 0.000)
Cd (0.000, 0.306, 0.694)
Cd (0.000, 0.694, 0.306)



(4)
Crystalline Tb3Tm2Cd at its relaxed geometry. Source: Alexandria, functional PBE.

Computed properties:
Uncorrected energy: -24.266 eV per cell
ρ: 8.67 Mg/m³
Energy above the lowest structure with this stoichiometry: 0 meV per atom
DFT formation energy: -0.086 eV/atom

a = 3.551 Å, b = 3.551 Å, c = 14.079 Å
α = 90.00°, β = 90.00°, γ = 90.00°
Element x y z (fractional)
Tb (0.000, 0.000, 0.000)
Tb (0.000, 0.000, 0.650)
Tb (0.000, 0.000, 0.350)
Tm (0.500, 0.500, 0.825)
Tm (0.500, 0.500, 0.175)
Cd (0.500, 0.500, 0.500)



(5)
Crystalline Tb2Tm2Cd at its relaxed geometry. Source: Alexandria, functional PBE.

Computed properties:
Uncorrected energy: -19.669 eV per cell
ρ: 8.80 Mg/m³
Energy above the lowest structure with this stoichiometry: 0 meV per atom
DFT formation energy: -0.110 eV/atom

a = 3.528 Å, b = 3.528 Å, c = 11.913 Å
α = 98.51°, β = 98.51°, γ = 90.00°
Element x y z (fractional)
Tb (0.804, 0.804, 0.609)
Tb (0.196, 0.196, 0.391)
Tm (0.589, 0.589, 0.178)
Tm (0.411, 0.411, 0.822)
Cd (0.000, 0.000, 0.000)



(6)
Crystalline Tb4Tm3Cd4 at its relaxed geometry. Source: Alexandria, functional PBE.

Computed properties:
Uncorrected energy: -36.141 eV per cell
ρ: 8.57 Mg/m³
DFT formation energy: -0.050 eV/atom

a = 5.312 Å, b = 3.469 Å, c = 17.042 Å
α = 95.84°, β = 98.97°, γ = 90.00°
Element x y z (fractional)
Tb (0.268, 0.268, 0.536)
Tb (0.091, 0.591, 0.182)
Tb (0.909, 0.409, 0.818)
Tb (0.732, 0.732, 0.464)
Tm (0.363, 0.863, 0.726)
Tm (0.637, 0.137, 0.274)
Tm (0.000, 0.000, 0.000)
Cd (0.818, 0.318, 0.636)
Cd (0.456, 0.456, 0.912)
Cd (0.544, 0.544, 0.088)
Cd (0.182, 0.682, 0.364)



(7)
Crystalline Tb6Tm2Cd at its relaxed geometry. Source: Alexandria, functional PBE.

Computed properties:
Uncorrected energy: -74.648 eV per cell
ρ: 8.54 Mg/m³
Energy above the lowest structure with this stoichiometry: 0 meV per atom
DFT formation energy: 0.035 eV/atom

a = 6.109 Å, b = 11.224 Å, c = 11.224 Å
α = 47.97°, β = 105.77°, γ = 105.77°
Element x y z (fractional)
Tb (0.713, 0.505, 0.652)
Tb (0.787, 0.348, 0.495)
Tb (0.287, 0.495, 0.348)
Tb (0.213, 0.652, 0.505)
Tb (0.919, 0.920, 0.418)
Tb (0.581, 0.582, 0.080)
Tb (0.081, 0.080, 0.582)
Tb (0.419, 0.418, 0.920)
Tb (0.061, 0.845, 0.997)
Tb (0.439, 0.003, 0.155)
Tb (0.939, 0.155, 0.003)
Tb (0.561, 0.997, 0.845)
Tm (0.560, 0.829, 0.670)
Tm (0.940, 0.330, 0.171)
Tm (0.440, 0.171, 0.330)
Tm (0.060, 0.670, 0.829)
Cd (0.250, 0.248, 0.752)
Cd (0.750, 0.752, 0.248)



(8)
Crystalline Tb2Tm3Cd at its relaxed geometry. Source: Alexandria, functional PBE.

Computed properties:
Uncorrected energy: -22.657 eV per cell
ρ: 8.40 Mg/m³
Energy above the lowest structure with this stoichiometry: 248 meV per atom
DFT formation energy: 0.155 eV/atom

a = 3.409 Å, b = 6.454 Å, c = 9.176 Å
α = 110.59°, β = 100.71°, γ = 90.00°
Element x y z (fractional)
Tb (0.692, 0.312, 0.385)
Tb (0.308, 0.927, 0.615)
Tm (0.000, 0.931, 0.000)
Tm (0.368, 0.494, 0.737)
Tm (0.632, 0.757, 0.263)
Cd (0.500, 0.322, 0.000)



(9)
Crystalline TbTm2Cd5 at its relaxed geometry. Source: Alexandria, functional PBE.

Computed properties:
Uncorrected energy: -20.503 eV per cell
ρ: 9.05 Mg/m³
DFT formation energy: -0.294 eV/atom

a = 5.111 Å, b = 5.111 Å, c = 8.272 Å
α = 108.00°, β = 108.00°, γ = 90.00°
Element x y z (fractional)
Tb (0.000, 0.000, 0.000)
Tm (0.740, 0.740, 0.480)
Tm (0.260, 0.260, 0.520)
Cd (0.500, 0.500, 0.000)
Cd (0.878, 0.378, 0.755)
Cd (0.378, 0.878, 0.755)
Cd (0.122, 0.622, 0.245)
Cd (0.622, 0.122, 0.245)



(10)
Crystalline Tb2TmCd at its relaxed geometry. Source: Alexandria, functional PBE.

Computed properties:
Uncorrected energy: -14.786 eV per cell
ρ: 8.79 Mg/m³
Energy above the lowest structure with this stoichiometry: 105 meV per atom
DFT formation energy: -0.035 eV/atom

a = 5.429 Å, b = 5.429 Å, c = 5.429 Å
α = 60.00°, β = 60.00°, γ = 60.00°
Element x y z (fractional)
Tm (0.500, 0.500, 0.500)
Tb (0.250, 0.250, 0.250)
Tb (0.750, 0.750, 0.750)
Cd (0.000, 0.000, 0.000)



(11)
Crystalline TbTm2Cd8 at its relaxed geometry. Source: Alexandria, functional PBE.

Computed properties:
Uncorrected energy: -23.275 eV per cell
ρ: 8.78 Mg/m³
DFT formation energy: -0.216 eV/atom

a = 5.331 Å, b = 6.275 Å, c = 8.945 Å
α = 111.31°, β = 108.23°, γ = 87.58°
Element x y z (fractional)
Tb (0.500, 0.000, 0.000)
Tm (0.688, 0.688, 0.375)
Tm (0.312, 0.312, 0.625)
Cd (0.147, 0.363, 0.262)
Cd (0.885, 0.101, 0.738)
Cd (0.748, 0.480, 0.000)
Cd (0.701, 0.201, 0.403)
Cd (0.299, 0.799, 0.597)
Cd (0.252, 0.520, 0.000)
Cd (0.115, 0.899, 0.262)
Cd (0.853, 0.637, 0.738)



(12)
Crystalline Tb2Tm3Cd4 at its relaxed geometry. Source: Alexandria, functional PBE.

Computed properties:
Uncorrected energy: -55.356 eV per cell
ρ: 8.53 Mg/m³
DFT formation energy: -0.149 eV/atom

a = 6.702 Å, b = 8.042 Å, c = 9.797 Å
α = 90.00°, β = 110.00°, γ = 90.00°
Element x y z (fractional)
Tb (0.093, 0.601, 0.185)
Tb (0.907, 0.399, 0.815)
Tb (0.407, 0.101, 0.815)
Tb (0.593, 0.899, 0.185)
Tm (0.000, 0.000, 0.000)
Tm (0.500, 0.500, 0.000)
Tm (0.505, 0.750, 0.510)
Tm (0.995, 0.250, 0.490)
Tm (0.495, 0.250, 0.490)
Tm (0.005, 0.750, 0.510)
Cd (0.675, 0.750, 0.850)
Cd (0.825, 0.250, 0.150)
Cd (0.325, 0.250, 0.150)
Cd (0.175, 0.750, 0.850)
Cd (0.162, 0.982, 0.323)
Cd (0.838, 0.018, 0.677)
Cd (0.338, 0.482, 0.677)
Cd (0.662, 0.518, 0.323)